[1]
Here is an optimized crystal structure of H6PdPt2Pb from Alexandria. Energies are from PBE-GGA.

Crystal system   monoclinic

Unit cell a=6.4975 b=6.4975 c=5.2547 alpha=104.03 beta=104.03 gamma=94.68
Fractional positions:
H  0.1092  0.5074  0.7026
H  0.1178  0.1505  0.0668
H  0.1505  0.1178  0.5668
H  0.3291  0.4027  0.4013
H  0.4027  0.3291  0.9013
H  0.4926  0.8908  0.7974
H  0.5074  0.1092  0.2026
H  0.5973  0.6709  0.0987
H  0.6709  0.5973  0.5987
H  0.8495  0.8822  0.4332
H  0.8822  0.8495  0.9332
H  0.8908  0.4926  0.2974
Pd  0.4307  0.5693  0.7500
Pd  0.5693  0.4307  0.2500
Pt  0.0553  0.2933  0.3607
Pt  0.2933  0.0553  0.8607
Pt  0.7067  0.9447  0.1393
Pt  0.9447  0.7067  0.6393
Pb  0.2322  0.7678  0.2500
Pb  0.7678  0.2322  0.7500

***

[2]
Here is an optimized crystal structure of HPdPtPb from Alexandria. Energies are from PBE-GGA.

Crystal system   monoclinic

Unit cell a=5.3575 b=5.3575 c=3.4656 alpha=108.64 beta=108.64 gamma=40.40
Fractional positions:
H  0.0000  0.0000  0.0000
Pd  0.6038  0.6038  0.1034
Pt  0.9387  0.9387  0.4395
Pb  0.2662  0.2662  0.7654

***

[3]
Here is an optimized crystal structure of H6PdPtPb from Alexandria. Energies are from PBE-GGA.

Crystal system   triclinic

Unit cell a=4.5979 b=4.7921 c=4.8112 alpha=112.45 beta=93.88 gamma=94.31
Fractional positions:
H  0.0000  0.0000  0.0000
H  0.0002  0.3230  0.6103
H  0.3776  0.7985  0.0873
H  0.3825  0.4134  0.4147
H  0.4046  0.0001  0.6173
H  0.9749  0.7921  0.4127
Pd  0.1901  0.7026  0.7101
Pt  0.1899  0.0659  0.3452
Pb  0.6898  0.3803  0.0306

***

[4]
Here is an optimized crystal structure of H3Pd12PtPb4 from Alexandria. Energies are from PBE-GGA.

Crystal system   cubic

Unit cell a=7.4885 b=7.4885 c=7.4885 alpha=109.47 beta=109.47 gamma=109.47
Fractional positions:
H  0.0000  0.5000  0.5000
H  0.5000  0.0000  0.5000
H  0.5000  0.5000  0.0000
Pd  0.0000  0.2949  0.2949
Pd  0.0000  0.7051  0.7051
Pd  0.2500  0.5000  0.7500
Pd  0.2500  0.7500  0.5000
Pd  0.2949  0.0000  0.2949
Pd  0.2949  0.2949  0.0000
Pd  0.5000  0.2500  0.7500
Pd  0.5000  0.7500  0.2500
Pd  0.7051  0.0000  0.7051
Pd  0.7051  0.7051  0.0000
Pd  0.7500  0.2500  0.5000
Pd  0.7500  0.5000  0.2500
Pt  0.0000  0.0000  0.0000
Pb  0.0000  0.0000  0.5000
Pb  0.0000  0.5000  0.0000
Pb  0.5000  0.0000  0.0000
Pb  0.5000  0.5000  0.5000

***

Number 1: VASP energy -4.10 eV per atom. Number 2: VASP energy -4.62 eV per atom. Number 3: VASP energy -3.89 eV per atom. Number 4: VASP energy -4.75 eV per atom.